Entry from Alexandria via LeMat-Bulk: an optimized crystal structure of K3RbIn2Cl6 (GGA-PBE).

Computed properties:
Calculated total energy   -3.30 eV per atom
Energy relative to the elements, uncorrected   -18.80 eV per formula unit
Space-group type   No. 12

Cell lengths 10.2220, 10.2220, 9.1482 Å; angles 103.18, 103.18, 25.81 degrees
Sites, in units of the cell vectors:
K 0.0000 0.0000 0.0000
K 0.3326 0.3326 0.6692
K 0.6674 0.6674 0.3308
Rb 0.0000 0.0000 0.5000
In 0.3325 0.3325 0.1670
In 0.6675 0.6675 0.8330
Cl 0.1664 0.1664 0.0848
Cl 0.1699 0.1699 0.5798
Cl 0.4982 0.4982 0.7587
Cl 0.5018 0.5018 0.2414
Cl 0.8301 0.8301 0.4202
Cl 0.8336 0.8336 0.9152